(1)
Compound: TbY2Ni2
Source: the Alexandria database
Functional: PBE
Structure: relaxed

The calculated density comes out at 6.5 g/cm3. The value obtained for the density of states at the Fermi level is 12.93 states/eV per cell. Its total magnetization is 0.00 μB per formula unit. For the distance to the lowest polymorph of the same formula, the calculation gives 101.4 meV/atom. The energy of formation from the pure elements is -0.214 eV/atom.

a = 11.507 Å, b = 3.760 Å, c = 5.550 Å
α = 90.00°, β = 104.31°, γ = 90.00°
Space group C2/m (No. 12)
One atom of each set of equivalent atoms:
Tb 0.000 0.000 0.000 (multiplicity 2)
Y 0.147 0.500 0.587 (multiplicity 4)
Ni 0.213 0.500 0.110 (multiplicity 4)

=====

(2)
Compound: AsIBrN2
Source: the Alexandria database
Functional: PBE
Structure: relaxed

The calculated density comes out at 4.0 g/cm3. For the raw formation energy, the calculation gives 2.12 eV per atom. The value obtained for the density of states at the Fermi level is 2.96 states/eV per cell. Its total magnetization is 3.15 μB per formula unit. For the distance to the lowest polymorph of the same formula, the calculation gives 695.5 meV/atom.

a = 4.113 Å, b = 4.113 Å, c = 7.530 Å
α = 90.00°, β = 90.00°, γ = 90.00°
Space group P4/mmm (No. 123)
One atom of each set of equivalent atoms:
As 0.000 0.000 0.000 (multiplicity 1)
I 0.500 0.500 0.000 (multiplicity 1)
Br 0.500 0.500 0.500 (multiplicity 1)
N 0.000 0.500 0.500 (multiplicity 2)

=====

(3)
Compound: KNi2Pd
Source: the Alexandria database
Functional: PBE
Structure: relaxed

The calculated density comes out at 4.5 g/cm3. The value obtained for the density of states at the Fermi level is 27.20 states/eV per cell. Its total magnetization is 1.89 μB per formula unit. For the distance to the lowest polymorph of the same formula, the calculation gives 0.0 meV/atom. The energy of formation from the pure elements is 0.634 eV/atom.

a = 4.735 Å, b = 4.735 Å, c = 17.129 Å
α = 90.00°, β = 90.00°, γ = 90.00°
Space group I-42d (No. 122)
One atom of each set of equivalent atoms:
K 0.000 0.000 0.000 (multiplicity 4)
Ni 0.012 0.250 0.625 (multiplicity 8)
Pd 0.000 0.000 0.500 (multiplicity 4)

=====

(4)
Compound: LiCCl3
Source: the Alexandria database
Functional: PBE
Structure: relaxed

The calculated density comes out at 2.3 g/cm3. For the raw formation energy, the calculation gives 0.27 eV per atom. The value obtained for the density of states at the Fermi level is 0.00 states/eV per cell. Its total magnetization is 0.00 μB per formula unit. For the distance to the lowest polymorph of the same formula, the calculation gives 0.0 meV/atom.

a = 4.507 Å, b = 4.507 Å, c = 4.507 Å
α = 90.00°, β = 90.00°, γ = 90.00°
Space group Pm-3m (No. 221)
One atom of each set of equivalent atoms:
Li 0.000 0.000 0.000 (multiplicity 1)
C 0.500 0.500 0.500 (multiplicity 1)
Cl 0.000 0.500 0.500 (multiplicity 3)

=====

(5)
Compound: CdHg2
Source: the Alexandria database
Functional: PBE
Structure: relaxed

The calculated density comes out at 11.0 g/cm3. The value obtained for the density of states at the Fermi level is 3.23 states/eV per cell. Its total magnetization is 0.00 μB per formula unit. For the distance to the lowest polymorph of the same formula, the calculation gives 9.1 meV/atom. The energy of formation from the pure elements is 0.026 eV/atom.

a = 8.3750 Å, b = 8.3750 Å, c = 3.8162 Å
α = 90.00°, β = 90.00°, γ = 120.00°
Space group P-62m (No. 189)
One atom of each set of equivalent atoms:
Cd 0.0000 0.0000 0.0000 (multiplicity 1)
Cd 0.3333 0.6667 0.5000 (multiplicity 2)
Hg 0.0000 0.2854 0.5000 (multiplicity 3)
Hg 0.0000 0.6183 0.0000 (multiplicity 3)

=====

(6)
Compound: Ti6NiN2
Source: the Alexandria database
Functional: PBE
Structure: relaxed

The calculated density comes out at 4.9 g/cm3. For the raw formation energy, the calculation gives -0.75 eV per atom. The value obtained for the density of states at the Fermi level is 17.47 states/eV per cell. Its total magnetization is 0.00 μB per formula unit.

a = 10.089 Å, b = 4.090 Å, c = 7.017 Å
α = 90.00°, β = 118.89°, γ = 90.00°
Space group C2/m (No. 12)
One atom of each set of equivalent atoms:
Ti 0.025 0.000 0.198 (multiplicity 4)
Ti 0.162 0.500 0.566 (multiplicity 4)
Ti 0.195 0.500 0.082 (multiplicity 4)
Ni 0.000 0.000 0.500 (multiplicity 2)
N 0.183 0.000 0.089 (multiplicity 4)

=====

(7)
Compound: YScIr2
Source: the Alexandria database
Functional: PBE
Structure: relaxed

The calculated density comes out at 11.6 g/cm3. The value obtained for the density of states at the Fermi level is 0.89 states/eV per cell. Its total magnetization is 0.00 μB per formula unit. The energy of formation from the pure elements is -0.882 eV/atom.

a = 3.238 Å, b = 3.318 Å, c = 6.888 Å
α = 90.00°, β = 90.00°, γ = 90.00°
Space group Pmmm (No. 47)
One atom of each set of equivalent atoms:
Y 0.000 0.000 0.000 (multiplicity 1)
Sc 0.000 0.000 0.500 (multiplicity 1)
Ir 0.500 0.500 0.270 (multiplicity 2)

=====

(8)
Compound: Zr3ReHg
Source: the Alexandria database
Functional: PBE
Structure: relaxed

The calculated density comes out at 8.1 g/cm3. The value obtained for the density of states at the Fermi level is 8.39 states/eV per cell. Its total magnetization is 0.27 μB per formula unit. For the distance to the lowest polymorph of the same formula, the calculation gives 1206.3 meV/atom. The energy of formation from the pure elements is 1.713 eV/atom.

a = 5.131 Å, b = 5.131 Å, c = 5.131 Å
α = 90.00°, β = 90.00°, γ = 90.00°
Space group Pm-3m (No. 221)
One atom of each set of equivalent atoms:
Zr 0.000 0.000 0.500 (multiplicity 3)
Re 0.500 0.500 0.500 (multiplicity 1)
Hg 0.000 0.000 0.000 (multiplicity 1)

=====

(9)
Compound: NdTc3
Source: the Alexandria database
Functional: PBE
Structure: relaxed

The calculated density comes out at 8.9 g/cm3. The value obtained for the density of states at the Fermi level is 7.80 states/eV per cell. Its total magnetization is 0.00 μB per formula unit. The energy of formation from the pure elements is 0.378 eV/atom.

a = 6.7344 Å, b = 6.7344 Å, c = 4.1804 Å
α = 90.00°, β = 90.00°, γ = 120.00°
Space group P6_3/mmc (No. 194)
One atom of each set of equivalent atoms:
Nd 0.3333 0.6667 0.2500 (multiplicity 2)
Tc 0.1306 0.2613 0.7500 (multiplicity 6)

=====

(10)
Compound: Rb4Np3CoS8
Source: the Alexandria database
Functional: PBE
Structure: relaxed

The calculated density comes out at 5.3 g/cm3. For the raw formation energy, the calculation gives -1.13 eV per atom. The value obtained for the density of states at the Fermi level is 72.91 states/eV per cell. Its total magnetization is 12.65 μB per formula unit.

a = 13.920 Å, b = 8.030 Å, c = 8.940 Å
α = 90.00°, β = 121.28°, γ = 90.00°
Space group C2/m (No. 12)
One atom of each set of equivalent atoms:
Rb 0.000 0.000 0.000 (multiplicity 2)
Rb 0.000 0.500 0.000 (multiplicity 2)
Rb 0.250 0.250 0.000 (multiplicity 4)
Np 0.000 0.000 0.500 (multiplicity 2)
Np 0.250 0.250 0.500 (multiplicity 4)
Co 0.000 0.500 0.500 (multiplicity 2)
S 0.020 0.255 0.316 (multiplicity 8)
S 0.225 0.500 0.684 (multiplicity 4)
S 0.231 0.000 0.693 (multiplicity 4)

=====

(11)
Compound: CaCrTc2
Source: the Alexandria database
Functional: PBE
Structure: relaxed

The calculated density comes out at 7.5 g/cm3. The value obtained for the density of states at the Fermi level is 5.59 states/eV per cell. Its total magnetization is 0.44 μB per formula unit. For the distance to the lowest polymorph of the same formula, the calculation gives 571.7 meV/atom. The energy of formation from the pure elements is 0.794 eV/atom.

a = 4.558 Å, b = 4.558 Å, c = 3.073 Å
α = 90.00°, β = 90.00°, γ = 90.00°
Space group P4/mmm (No. 123)
One atom of each set of equivalent atoms:
Ca 0.000 0.000 0.000 (multiplicity 1)
Cr 0.500 0.500 0.000 (multiplicity 1)
Tc 0.000 0.500 0.500 (multiplicity 2)

=====

(12)
Compound: Ca3Br5F
Source: the Alexandria database
Functional: PBE
Structure: relaxed

The calculated density comes out at 3.0 g/cm3. For the raw formation energy, the calculation gives -2.27 eV per atom. The value obtained for the density of states at the Fermi level is 0.00 states/eV per cell. Its total magnetization is 0.00 μB per formula unit.

a = 13.003 Å, b = 9.928 Å, c = 10.400 Å
α = 90.00°, β = 116.91°, γ = 90.00°
Space group C2/m (No. 12)
One atom of each set of equivalent atoms:
Ca 0.000 0.000 0.000 (multiplicity 2)
Ca 0.000 0.000 0.500 (multiplicity 2)
Ca 0.160 0.500 0.174 (multiplicity 4)
Ca 0.193 0.500 0.677 (multiplicity 4)
Br 0.000 0.298 0.000 (multiplicity 4)
Br 0.053 0.500 0.363 (multiplicity 4)
Br 0.172 0.196 0.642 (multiplicity 8)
Br 0.229 0.000 0.012 (multiplicity 4)
F 0.120 0.000 0.241 (multiplicity 4)